A plane-wave DFT calculation with PBE was carried out for an optimized crystal structure of PmZnGaHg.

ΔH_f (0 K), eV per formula unit: -1.2
Crystal system: cubic

abc: 7.003 7.003 7.003
angles: 90.00 90.00 90.00
Space group F-43m (No. 216)
Asymmetric unit:
Pm: 0.000 0.000 0.000 x4
Zn: 0.250 0.250 0.750 x4
Ga: 0.250 0.250 0.250 x4
Hg: 0.000 0.000 0.500 x4